1.
DFT (PBE-GGA) results for Ni2TeH2 after structural relaxation.

Unit cell a=3.185 b=3.185 c=10.432 alpha=90.00 beta=90.00 gamma=90.00
Space group I4/mmm (No. 139)
Symmetry-distinct sites (fractional):
Ni 0.000 0.000 0.174 (multiplicity 4)
Te 0.000 0.000 0.500 (multiplicity 2)
H 0.000 0.500 0.250 (multiplicity 4)

Calculated values
Total moment = 0.0000 μB/atom
Energy above the most stable polymorph in this dataset = 0.064 eV per atom

---

2.
DFT (PBE-GGA) results for NiTe3H after structural relaxation.

Unit cell a=5.063 b=5.063 c=5.063 alpha=90.00 beta=90.00 gamma=90.00
Space group Pm-3m (No. 221)
Symmetry-distinct sites (fractional):
Ni 0.000 0.000 0.000 (multiplicity 1)
Te 0.000 0.000 0.500 (multiplicity 3)
H 0.500 0.500 0.500 (multiplicity 1)

Calculated values
Total moment = 0.2133 μB/atom
Energy above the most stable polymorph in this dataset = 0.721 eV per atom